Material: Ba2ScNi
Method: DFT, GGA-PBE
State: relaxed

```
Ba2ScNi
1.0
-1.778 2.050 9.478
1.778 -2.050 9.478
1.778 2.050 -9.478
Ba Sc Ni
2 1 1
direct
0.151 0.151 0.000 Ba
0.849 0.849 0.000 Ba
0.500 0.000 0.500 Sc
0.000 0.500 0.500 Ni
```

Computed properties:
Energy of formation   0.118 eV per atom
Relative energy among the computed polymorphs   30 meV/atom
Total magnetic moment   0.00 μB/cell
Symmetry   Immm